1.
{"formula": "NaTcRh2", "functional": "PBE", "state": "optimized geometry", "sg": "No. 225", "delta_e_f_ev_per_fu": 1.84, "cell": [[-3.2457, -0.4638, 2.9482], [-0.2470, 2.7289, 3.4546], [-3.2272, 2.9968, 0.2159]], "species": ["Na", "Rh", "Rh", "Tc"], "frac_coords": [[0.0000, 0.0000, 0.0000], [0.2500, 0.2500, 0.2500], [0.7500, 0.7500, 0.7500], [0.5000, 0.5000, 0.5000]]}

---

2.
{"formula": "NaTcRh3", "functional": "PBE", "state": "optimized geometry", "sg": "No. 221", "delta_e_f_ev_per_fu": 9.68, "cell": [[-2.4950, 3.3516, 1.2732], [-1.9442, 0.0385, -3.9112], [-3.0123, -2.8009, 1.4698]], "species": ["Na", "Rh", "Rh", "Rh", "Tc"], "frac_coords": [[0.0000, 0.0000, 0.0000], [0.0000, 0.5000, 0.0000], [0.0000, 0.0000, 0.5000], [0.5000, 0.0000, 0.0000], [0.5000, 0.5000, 0.5000]]}

---

3.
{"formula": "NaTc3Rh", "functional": "PBE", "state": "optimized geometry", "sg": "No. 221", "delta_e_f_ev_per_fu": 12.73, "cell": [[-4.0736, 1.4620, 0.6671], [-1.3119, -1.9756, -3.6814], [-0.9280, -3.6244, 2.2758]], "species": ["Na", "Rh", "Tc", "Tc", "Tc"], "frac_coords": [[0.0000, 0.0000, 0.0000], [0.5000, 0.5000, 0.5000], [0.0000, 0.5000, 0.0000], [0.0000, 0.0000, 0.5000], [0.5000, 0.0000, 0.0000]]}

---

4.
{"formula": "Na2TcRh", "functional": "PBE", "state": "optimized geometry", "sg": "No. 122", "delta_e_f_ev_per_fu": 4.52, "cell": [[8.2860, 0.0000, 0.0000], [0.0000, 8.2860, 0.0000], [4.1430, 4.1430, 2.4591]], "species": ["Na", "Na", "Na", "Na", "Rh", "Rh", "Tc", "Tc"], "frac_coords": [[0.6583, 0.1250, 0.2500], [0.0917, 0.6250, 0.2500], [0.3750, 0.3417, 0.7500], [0.8750, 0.9083, 0.7500], [0.0000, 0.0000, 0.0000], [0.7500, 0.2500, 0.5000], [0.5000, 0.5000, 0.0000], [0.2500, 0.7500, 0.5000]]}